(1)
The following is a DFT calculation (GGA-PBE) of a geometry-optimized Mg4AlTl structure.

Cell: 3.256 4.408 9.332 Å, 90.00 92.14 90.00°
Positions (direct):
Mg: 0.008 0.000 0.323
Mg: 0.490 0.500 0.157
Mg: 0.510 0.500 0.843
Mg: 0.992 0.000 0.677
Al: 0.000 0.000 0.000
Tl: 0.500 0.500 0.500

Computed properties:
As for the energy above the most stable polymorph in this dataset: 0.0 meV/atom. As for the formation energy from the elements: 7 meV per atom. The magnetization is 0.00 μB per formula unit. As for the space group: P2/m, No. 10.

***

(2)
The following is a DFT calculation (GGA-PBE) of a geometry-optimized Mg8AlTl6 structure.

Cell: 8.131 8.131 8.131 Å, 61.89 61.89 61.89°
Positions (direct):
Mg: 0.043 0.393 0.720
Mg: 0.170 0.170 0.170
Mg: 0.280 0.957 0.607
Mg: 0.393 0.720 0.043
Mg: 0.607 0.280 0.957
Mg: 0.720 0.043 0.393
Mg: 0.830 0.830 0.830
Mg: 0.957 0.607 0.280
Al: 0.500 0.500 0.500
Tl: 0.113 0.767 0.429
Tl: 0.233 0.571 0.887
Tl: 0.429 0.113 0.767
Tl: 0.571 0.887 0.233
Tl: 0.767 0.429 0.113
Tl: 0.887 0.233 0.571

Computed properties:
As for the formation energy from the elements: 97 meV per atom. The magnetization is 0.00 μB per formula unit. As for the space group: R-3, No. 148.

***

(3)
The following is a DFT calculation (GGA-PBE) of a geometry-optimized Mg3AlTl structure.

Cell: 9.197 9.197 5.576 Å, 98.44 98.44 86.57°
Positions (direct):
Mg: 0.113 0.709 0.969
Mg: 0.133 0.515 0.396
Mg: 0.242 0.372 0.905
Mg: 0.291 0.887 0.531
Mg: 0.372 0.242 0.405
Mg: 0.485 0.867 0.104
Mg: 0.515 0.133 0.896
Mg: 0.628 0.758 0.595
Mg: 0.709 0.113 0.469
Mg: 0.758 0.628 0.095
Mg: 0.867 0.485 0.604
Mg: 0.887 0.291 0.031
Al: 0.389 0.611 0.750
Al: 0.396 0.604 0.250
Al: 0.604 0.396 0.750
Al: 0.611 0.389 0.250
Tl: 0.041 0.187 0.510
Tl: 0.187 0.041 0.010
Tl: 0.813 0.959 0.990
Tl: 0.959 0.813 0.490

Computed properties:
As for the energy above the most stable polymorph in this dataset: 0.0 meV/atom. As for the formation energy from the elements: 31 meV per atom. The magnetization is 0.00 μB per formula unit. As for the space group: C2/c, No. 15.

***

(4)
The following is a DFT calculation (GGA-PBE) of a geometry-optimized Mg14AlTl structure.

Cell: 6.414 6.414 8.816 Å, 90.00 90.00 90.00°
Positions (direct):
Mg: 0.000 0.000 0.000
Mg: 0.000 0.500 0.000
Mg: 0.000 0.500 0.500
Mg: 0.247 0.247 0.255
Mg: 0.247 0.247 0.745
Mg: 0.247 0.753 0.255
Mg: 0.247 0.753 0.745
Mg: 0.500 0.000 0.000
Mg: 0.500 0.000 0.500
Mg: 0.500 0.500 0.000
Mg: 0.753 0.247 0.255
Mg: 0.753 0.247 0.745
Mg: 0.753 0.753 0.255
Mg: 0.753 0.753 0.745
Al: 0.000 0.000 0.500
Tl: 0.500 0.500 0.500

Computed properties:
As for the formation energy from the elements: 6 meV per atom. The magnetization is 0.00 μB per formula unit. As for the space group: P4/mmm, No. 123.